a:
{"formula": "LaPm5Ho2", "functional": "GGA-PBE", "state": "relaxed", "vol_a3_per_cell": 541.31, "dos_at_fermi_per_ev_atom": 1.44, "cell": [[5.121, 0.000, 0.000], [0.000, 7.269, 0.000], [0.000, 0.000, 14.543]], "species": ["Ho", "Ho", "Ho", "Pm", "Pm", "Pm", "Ho", "La", "Pm", "Pm", "Pm", "Pm", "Pm", "Pm", "Pm", "La"], "frac_coords": [[0.500, 0.249, 0.626], [0.500, 0.251, 0.126], [0.500, 0.751, 0.374], [0.500, 0.752, 0.126], [0.000, 0.500, 0.500], [0.000, 0.502, 0.251], [0.500, 0.749, 0.874], [0.000, 0.000, 0.500], [0.000, 0.002, 0.249], [0.500, 0.248, 0.874], [0.500, 0.748, 0.626], [0.500, 0.252, 0.374], [0.000, 0.000, 0.000], [0.000, 0.498, 0.749], [0.000, 0.998, 0.751], [0.000, 0.500, 0.000]]}

b:
{"formula": "LaPm5Ho2", "functional": "GGA-PBE", "state": "relaxed", "vol_a3_per_cell": 1095.36, "dos_at_fermi_per_ev_atom": 1.47, "cell": [[-6.123, 1.365, -1.551], [-6.750, -8.131, 6.030], [-3.445, 10.798, 9.636]], "species": ["Pm", "Pm", "Pm", "La", "Ho", "Pm", "Pm", "Pm", "Ho", "Pm", "Pm", "Pm", "La", "Ho", "Pm", "Pm", "Pm", "Pm", "La", "Ho", "Pm", "Ho", "Pm", "Pm", "La", "Pm", "Ho", "Ho", "Pm", "Pm", "Pm", "Ho"], "frac_coords": [[0.351, 0.507, 0.336], [0.607, 0.659, 0.467], [0.391, 0.680, 0.140], [0.153, 0.881, 0.615], [0.928, 0.384, 0.439], [0.805, 0.007, 0.836], [0.789, 0.180, 0.640], [0.393, 0.341, 0.533], [0.702, 0.902, 0.271], [0.292, 0.089, 0.483], [0.708, 0.911, 0.517], [0.864, 0.411, 0.017], [0.649, 0.619, 0.885], [0.875, 0.598, 0.229], [0.622, 0.810, 0.719], [0.268, 0.159, 0.967], [0.136, 0.589, 0.983], [0.150, 0.690, 0.781], [0.847, 0.119, 0.385], [0.072, 0.616, 0.561], [0.732, 0.841, 0.033], [0.249, 0.884, 0.939], [0.850, 0.310, 0.219], [0.649, 0.493, 0.664], [0.351, 0.381, 0.115], [0.609, 0.320, 0.860], [0.125, 0.402, 0.771], [0.298, 0.098, 0.729], [0.378, 0.190, 0.281], [0.211, 0.820, 0.360], [0.195, 0.993, 0.164], [0.751, 0.116, 0.061]]}

Most stable structure: a

a:
{"formula": "La7Pm2Ho2", "functional": "GGA-PBE", "state": "relaxed", "vol_a3_per_cell": 396.02, "dos_at_fermi_per_ev_atom": 1.49, "cell": [[-0.375, 9.803, -2.451], [-4.850, -5.768, 4.295], [-0.939, -3.492, 9.443]], "species": ["Ho", "La", "La", "Ho", "Pm", "Pm", "La", "La", "La", "La", "La"], "frac_coords": [[0.812, 0.500, 0.812], [0.000, 0.000, 0.000], [0.902, 0.217, 0.499], [0.188, 0.500, 0.188], [0.696, 0.871, 0.304], [0.304, 0.129, 0.696], [0.098, 0.783, 0.501], [0.501, 0.217, 0.098], [0.601, 0.351, 0.399], [0.499, 0.783, 0.902], [0.399, 0.649, 0.601]]}

b:
{"formula": "La7Pm2Ho2", "functional": "GGA-PBE", "state": "relaxed", "vol_a3_per_cell": 391.66, "dos_at_fermi_per_ev_atom": 1.54, "cell": [[6.189, -0.405, -0.585], [-1.503, 7.978, 1.301], [-1.503, -1.583, 7.927]], "species": ["La", "La", "La", "La", "Pm", "La", "La", "Pm", "La", "Ho", "Ho"], "frac_coords": [[0.199, 0.426, 0.426], [0.181, 0.417, 0.953], [0.801, 0.574, 0.574], [0.819, 0.583, 0.047], [0.407, 0.773, 0.773], [0.000, 0.000, 0.000], [0.181, 0.953, 0.417], [0.593, 0.227, 0.227], [0.819, 0.047, 0.583], [0.500, 0.214, 0.786], [0.500, 0.786, 0.214]]}

Most stable structure: b

a:
{"formula": "La2Pm5Ho", "functional": "GGA-PBE", "state": "relaxed", "vol_a3_per_cell": 1122.43, "dos_at_fermi_per_ev_atom": 1.50, "cell": [[6.110, 0.000, 2.259], [2.718, 11.840, 2.042], [-1.917, -2.582, 14.579]], "species": ["Pm", "Pm", "Ho", "La", "Pm", "Ho", "Pm", "Pm", "La", "La", "La", "Pm", "Pm", "Pm", "Pm", "Pm", "Pm", "Ho", "La", "Pm", "Pm", "Pm", "Pm", "La", "La", "Pm", "Pm", "La", "Pm", "Pm", "Ho", "Pm"], "frac_coords": [[0.133, 0.701, 0.788], [0.862, 0.414, 0.019], [0.154, 0.885, 0.613], [0.119, 0.405, 0.769], [0.741, 0.833, 0.031], [0.846, 0.115, 0.387], [0.800, 0.000, 0.832], [0.705, 0.914, 0.519], [0.292, 0.095, 0.731], [0.913, 0.383, 0.441], [0.708, 0.905, 0.269], [0.394, 0.333, 0.531], [0.259, 0.167, 0.969], [0.801, 0.178, 0.635], [0.295, 0.086, 0.481], [0.631, 0.500, 0.668], [0.138, 0.586, 0.981], [0.652, 0.615, 0.887], [0.881, 0.595, 0.231], [0.867, 0.299, 0.212], [0.200, 0.000, 0.168], [0.622, 0.799, 0.712], [0.613, 0.322, 0.865], [0.087, 0.617, 0.559], [0.263, 0.883, 0.941], [0.606, 0.667, 0.469], [0.369, 0.500, 0.332], [0.737, 0.117, 0.059], [0.378, 0.201, 0.288], [0.199, 0.822, 0.365], [0.348, 0.385, 0.113], [0.387, 0.678, 0.135]]}

b:
{"formula": "La2Pm5Ho", "functional": "GGA-PBE", "state": "relaxed", "vol_a3_per_cell": 566.28, "dos_at_fermi_per_ev_atom": 1.58, "cell": [[-5.051, 1.269, 2.423], [-0.159, -1.034, -6.597], [-2.771, -15.907, 2.559]], "species": ["Pm", "Ho", "La", "Pm", "La", "Pm", "La", "Pm", "Pm", "Pm", "Ho", "Pm", "Pm", "Pm", "Pm", "La"], "frac_coords": [[0.463, 0.927, 0.750], [0.742, 0.484, 0.750], [0.220, 0.439, 0.630], [0.537, 0.073, 0.250], [0.780, 0.561, 0.370], [0.383, 0.766, 0.449], [0.220, 0.439, 0.870], [0.383, 0.766, 0.051], [0.617, 0.234, 0.949], [0.922, 0.844, 0.908], [0.258, 0.516, 0.250], [0.617, 0.234, 0.551], [0.922, 0.844, 0.592], [0.078, 0.156, 0.092], [0.078, 0.156, 0.408], [0.780, 0.561, 0.130]]}

Most stable structure: a

a:
{"formula": "La3Pm7Ho2", "functional": "GGA-PBE", "state": "relaxed", "vol_a3_per_cell": 439.12, "dos_at_fermi_per_ev_atom": 1.67, "cell": [[6.505, 0.000, 1.430], [3.095, 5.721, 1.430], [0.765, 0.456, 12.028]], "species": ["Pm", "Pm", "Pm", "La", "La", "Pm", "Pm", "Ho", "Pm", "Pm", "Ho", "La"], "frac_coords": [[0.081, 0.585, 0.750], [0.585, 0.585, 0.750], [0.500, 0.500, 0.500], [0.000, 0.000, 0.000], [0.153, 0.153, 0.540], [0.415, 0.415, 0.250], [0.415, 0.919, 0.250], [0.334, 0.334, 0.999], [0.585, 0.081, 0.750], [0.919, 0.415, 0.250], [0.666, 0.666, 0.001], [0.847, 0.847, 0.460]]}

b:
{"formula": "La3Pm7Ho2", "functional": "GGA-PBE", "state": "relaxed", "vol_a3_per_cell": 419.88, "dos_at_fermi_per_ev_atom": 1.43, "cell": [[-0.181, 2.600, -2.555], [1.952, -3.886, -4.093], [-19.798, -1.848, -0.476]], "species": ["Pm", "Ho", "Pm", "Pm", "Pm", "La", "La", "Pm", "Ho", "La", "Pm", "Pm"], "frac_coords": [[0.500, 0.014, 0.822], [0.500, 0.581, 0.294], [0.500, 0.281, 0.537], [0.000, 0.544, 0.854], [0.500, 0.719, 0.463], [0.000, 0.143, 0.366], [0.000, 0.857, 0.634], [0.000, 0.456, 0.146], [0.500, 0.419, 0.706], [0.500, 0.500, 0.000], [0.500, 0.986, 0.178], [0.000, 0.000, 0.000]]}

Most stable structure: b